No. 1
LiSmThAl: relaxed, PBE.

Lattice parameters (Å, degrees): 5.237 5.237 5.237 60.00 60.00 60.00
Fractional coordinates of all 4 atoms:
Li (0.000, 0.000, 0.000)
Al (0.500, 0.500, 0.500)
Sm (0.750, 0.750, 0.750)
Th (0.250, 0.250, 0.250)

Computed properties:
V = 25.38 Å³/atom
Formation enthalpy at 0 K = -0.44 eV/f.u.

---

No. 2
TcSb2Te: relaxed, PBE.

Lattice parameters (Å, degrees): 3.478 5.049 5.235 90.00 90.00 90.00
Site moments in Bohr magnetons follow the coordinates.
Fractional coordinates of all 4 atoms:
Te (0.000, 0.500, 0.500)  -0.02
Sb (0.000, 0.000, 0.000)  -0.01
Sb (0.500, 0.500, 0.000)  -0.02
Tc (0.500, 0.000, 0.500)  1.46

Computed properties:
V = 22.98 Å³/atom
Energy relative to the elements, uncorrected = 0.644 eV per atom
Energy above the most stable polymorph in this dataset = 0.586 eV per atom

---

No. 3
Sr2HfOs: relaxed, PBE.

Lattice parameters (Å, degrees): 11.339 11.339 8.392 47.50 47.50 90.00
Fractional coordinates of all 8 atoms:
Hf (0.500, 0.500, 0.000)
Hf (0.250, 0.750, 0.500)
Sr (0.875, 0.033, 0.750)
Sr (0.375, 0.217, 0.750)
Sr (0.783, 0.125, 0.250)
Sr (0.967, 0.625, 0.250)
Os (0.750, 0.250, 0.500)
Os (0.000, 0.000, 0.000)

Computed properties:
V = 39.80 Å³/atom
Energy above the most stable polymorph in this dataset = 0.000 eV per atom
Formation enthalpy at 0 K = 2.49 eV/f.u.

---

No. 4
ScSn2Hg2: relaxed, PBE.

Lattice parameters (Å, degrees): 4.130 4.130 8.381 75.74 75.74 90.00
Fractional coordinates of all 5 atoms:
Hg (0.592, 0.592, 0.817)
Hg (0.408, 0.408, 0.183)
Sc (0.000, 0.000, 0.000)
Sn (0.250, 0.750, 0.500)
Sn (0.750, 0.250, 0.500)

Computed properties:
V = 26.80 Å³/atom
Energy above the most stable polymorph in this dataset = 0.131 eV per atom
Formation enthalpy at 0 K = 0.47 eV/f.u.

---

No. 5
Tl2Re: relaxed, PBE.

Lattice parameters (Å, degrees): 5.753 5.753 5.753 144.52 144.52 51.05
Fractional coordinates of all 3 atoms:
Tl (0.350, 0.350, 0.000)
Tl (0.650, 0.650, 0.000)
Re (0.000, 0.000, 0.000)

Computed properties:
V = 21.27 Å³/atom
Energy above the most stable polymorph in this dataset = 0.602 eV per atom
Formation enthalpy at 0 K = 3.51 eV/f.u.

---

No. 6
LaTlCdBi: relaxed, PBE.

Lattice parameters (Å, degrees): 4.840 4.680 5.165 90.00 90.00 90.00
Fractional coordinates of all 4 atoms:
Tl (0.500, 0.000, 0.500)
La (0.500, 0.500, 0.000)
Cd (0.000, 0.500, 0.500)
Bi (0.000, 0.000, 0.000)

Computed properties:
V = 29.25 Å³/atom
Formation enthalpy at 0 K = -1.88 eV/f.u.

---

No. 7
Li2Pm2Al5Ag: relaxed, PBE.

Lattice parameters (Å, degrees): 4.284 9.443 9.443 90.00 90.00 90.00
Fractional coordinates of all 20 atoms:
Al (0.500, 0.296, 0.556)
Al (0.500, 0.056, 0.796)
Al (0.500, 0.944, 0.204)
Al (0.500, 0.704, 0.444)
Al (0.500, 0.556, 0.704)
Al (0.500, 0.500, 0.000)
Al (0.500, 0.796, 0.944)
Al (0.500, 0.204, 0.056)
Al (0.500, 0.000, 0.500)
Al (0.500, 0.444, 0.296)
Pm (0.000, 0.817, 0.683)
Pm (0.000, 0.183, 0.317)
Pm (0.000, 0.683, 0.183)
Pm (0.000, 0.317, 0.817)
Li (0.000, 0.889, 0.389)
Li (0.000, 0.611, 0.889)
Li (0.000, 0.111, 0.611)
Li (0.000, 0.389, 0.111)
Ag (0.000, 0.500, 0.500)
Ag (0.000, 0.000, 0.000)

Computed properties:
V = 19.10 Å³/atom
Formation enthalpy at 0 K = -2.79 eV/f.u.

---

No. 8
TcCl: relaxed, PBE.

Lattice parameters (Å, degrees): 9.283 10.022 7.090 90.00 90.00 90.00
Fractional coordinates of all 32 atoms:
Tc (0.886, 0.500, 0.500)
Tc (0.136, 0.750, 0.250)
Tc (0.364, 0.250, 0.750)
Tc (0.364, 0.750, 0.250)
Tc (0.114, 0.500, 0.500)
Tc (0.864, 0.750, 0.750)
Tc (0.636, 0.750, 0.750)
Tc (0.136, 0.250, 0.750)
Tc (0.386, 0.000, 0.500)
Tc (0.886, 0.000, 0.000)
Tc (0.114, 0.000, 0.000)
Tc (0.636, 0.250, 0.250)
Tc (0.614, 0.500, 0.000)
Tc (0.614, 0.000, 0.500)
Tc (0.864, 0.250, 0.250)
Tc (0.386, 0.500, 0.000)
Cl (0.250, 0.594, 0.750)
Cl (0.000, 0.344, 0.000)
Cl (0.000, 0.656, 0.000)
Cl (0.750, 0.094, 0.750)
Cl (0.250, 0.406, 0.250)
Cl (0.500, 0.344, 0.500)
Cl (0.250, 0.906, 0.750)
Cl (0.000, 0.844, 0.500)
Cl (0.750, 0.406, 0.750)
Cl (0.500, 0.844, 0.000)
Cl (0.500, 0.656, 0.500)
Cl (0.750, 0.906, 0.250)
Cl (0.750, 0.594, 0.250)
Cl (0.500, 0.156, 0.000)
Cl (0.000, 0.156, 0.500)
Cl (0.250, 0.094, 0.250)

Computed properties:
V = 20.61 Å³/atom
Energy relative to the elements, uncorrected = 0.340 eV per atom
Energy above the most stable polymorph in this dataset = 0.467 eV per atom

---

No. 9
Tm3ThSe6: relaxed, PBE.

Lattice parameters (Å, degrees): 4.055 11.500 11.798 108.60 90.00 90.00
Fractional coordinates of all 20 atoms:
Th (0.750, 0.047, 0.698)
Th (0.250, 0.953, 0.302)
Tm (0.750, 0.159, 0.082)
Tm (0.250, 0.566, 0.165)
Tm (0.250, 0.841, 0.918)
Tm (0.750, 0.434, 0.835)
Tm (0.750, 0.679, 0.499)
Tm (0.250, 0.321, 0.501)
Se (0.250, 0.519, 0.383)
Se (0.750, 0.481, 0.617)
Se (0.750, 0.393, 0.061)
Se (0.750, 0.740, 0.273)
Se (0.250, 0.260, 0.727)
Se (0.750, 0.119, 0.468)
Se (0.250, 0.881, 0.532)
Se (0.250, 0.083, 0.906)
Se (0.750, 0.917, 0.094)
Se (0.750, 0.805, 0.748)
Se (0.250, 0.607, 0.939)
Se (0.250, 0.195, 0.252)

Computed properties:
V = 26.07 Å³/atom
Energy relative to the elements, uncorrected = -1.818 eV per atom

---

No. 10
SrCaSb4: relaxed, PBE.

Lattice parameters (Å, degrees): 5.923 5.924 6.629 61.68 89.98 90.01
Fractional coordinates of all 6 atoms:
Sb (0.001, 0.351, 0.758)
Sb (0.502, 0.842, 0.252)
Sb (0.001, 0.654, 0.246)
Sb (0.501, 0.163, 0.752)
Sr (0.001, 0.003, 0.502)
Ca (0.501, 0.503, 0.002)

Computed properties:
V = 34.12 Å³/atom
Energy relative to the elements, uncorrected = -0.517 eV per atom
Energy above the most stable polymorph in this dataset = 0.000 eV per atom

---

No. 11
AcErSc2: relaxed, PBE.

Lattice parameters (Å, degrees): 3.978 3.978 7.725 90.00 90.00 90.00
Fractional coordinates of all 4 atoms:
Er (0.500, 0.500, 0.000)
Sc (0.000, 0.000, 0.225)
Sc (0.000, 0.000, 0.775)
Ac (0.500, 0.500, 0.500)

Computed properties:
V = 30.55 Å³/atom
Energy above the most stable polymorph in this dataset = 0.000 eV per atom
Formation enthalpy at 0 K = 0.37 eV/f.u.

---

No. 12
PmAg3Br6: relaxed, PBE.

Lattice parameters (Å, degrees): 7.375 7.261 11.315 90.00 91.37 90.00
Fractional coordinates of all 20 atoms:
Br (0.340, 0.833, 0.412)
Br (0.117, 0.114, 0.764)
Br (0.840, 0.667, 0.912)
Br (0.660, 0.167, 0.588)
Br (0.843, 0.674, 0.561)
Br (0.157, 0.326, 0.439)
Br (0.657, 0.174, 0.939)
Br (0.343, 0.826, 0.061)
Br (0.617, 0.386, 0.264)
Br (0.383, 0.614, 0.736)
Br (0.160, 0.333, 0.088)
Br (0.883, 0.886, 0.236)
Ag (0.500, 0.500, 0.000)
Ag (0.000, 0.000, 0.500)
Ag (0.526, 0.018, 0.242)
Ag (0.026, 0.482, 0.742)
Ag (0.974, 0.518, 0.258)
Ag (0.474, 0.982, 0.758)
Pm (0.000, 0.000, 0.000)
Pm (0.500, 0.500, 0.500)

Computed properties:
V = 30.29 Å³/atom
Energy relative to the elements, uncorrected = -0.903 eV per atom
Energy above the most stable polymorph in this dataset = 0.000 eV per atom

---

No. 13
CdWAu2: relaxed, PBE.

Lattice parameters (Å, degrees): 4.677 4.677 4.677 60.00 60.00 60.00
Site moments in Bohr magnetons follow the coordinates.
Fractional coordinates of all 4 atoms:
W (0.750, 0.750, 0.750)  1.30
Au (0.000, 0.000, 0.000)  0.09
Au (0.250, 0.250, 0.250)  0.00
Cd (0.500, 0.500, 0.500)  0.04

Computed properties:
V = 18.08 Å³/atom
Energy above the most stable polymorph in this dataset = 0.484 eV per atom
Formation enthalpy at 0 K = 2.66 eV/f.u.

---

No. 14
BaNi2AsCl: relaxed, PBE.

Lattice parameters (Å, degrees): 4.421 4.421 6.404 90.00 90.00 90.00
Site moments in Bohr magnetons follow the coordinates.
Fractional coordinates of all 5 atoms:
Ni (0.500, 0.000, 0.000)  0.36
Ni (0.000, 0.500, 0.000)  0.36
As (0.000, 0.000, 0.000)  0.04
Cl (0.000, 0.000, 0.500)  0.00
Ba (0.500, 0.500, 0.500)  -0.01

Computed properties:
V = 25.03 Å³/atom
Energy relative to the elements, uncorrected = -0.510 eV per atom

---

No. 15
BaLa2Ru: relaxed, PBE.

Lattice parameters (Å, degrees): 5.451 5.451 5.451 60.00 60.00 60.00
Fractional coordinates of all 4 atoms:
La (0.750, 0.750, 0.750)
La (0.250, 0.250, 0.250)
Ru (0.000, 0.000, 0.000)
Ba (0.500, 0.500, 0.500)

Computed properties:
V = 28.63 Å³/atom
Energy above the most stable polymorph in this dataset = 0.519 eV per atom
Formation enthalpy at 0 K = 1.33 eV/f.u.

---

No. 16
NaTiO3: relaxed, PBE.

Lattice parameters (Å, degrees): 3.294 5.968 5.968 123.74 90.00 90.00
Site moments in Bohr magnetons follow the coordinates.
Fractional coordinates of all 5 atoms:
Ti (0.500, 0.091, 0.909)  -0.11
Na (0.000, 0.405, 0.595)  0.00
O (0.500, 0.743, 0.791)  0.43
O (0.000, 0.180, 0.820)  0.04
O (0.500, 0.209, 0.257)  0.43

Computed properties:
V = 19.51 Å³/atom
Energy relative to the elements, uncorrected = -2.099 eV per atom

---

No. 17
Ac2GaPt4: relaxed, PBE.

Lattice parameters (Å, degrees): 4.744 4.744 8.491 106.22 106.22 90.00
Fractional coordinates of all 7 atoms:
Ac (0.354, 0.354, 0.708)
Ac (0.646, 0.646, 0.292)
Pt (0.160, 0.160, 0.321)
Pt (0.000, 0.500, 0.000)
Pt (0.840, 0.840, 0.679)
Pt (0.500, 0.000, 0.000)
Ga (0.000, 0.000, 0.000)

Computed properties:
V = 25.08 Å³/atom
Formation enthalpy at 0 K = -5.25 eV/f.u.

---

No. 18
Cs3Th3ZnSe8: relaxed, PBE.

Lattice parameters (Å, degrees): 8.632 8.627 9.845 115.97 90.00 120.02
Fractional coordinates of all 15 atoms:
Se (0.732, 0.463, 0.695)
Se (0.224, 0.952, 0.676)
Se (0.777, 0.553, 0.324)
Se (0.728, 0.952, 0.676)
Se (0.272, 0.048, 0.324)
Se (0.223, 0.447, 0.676)
Se (0.776, 0.048, 0.324)
Se (0.268, 0.537, 0.305)
Cs (0.000, 0.500, 0.000)
Cs (0.000, 0.000, 0.000)
Cs (0.500, 0.500, 0.000)
Th (0.500, 0.000, 0.500)
Th (0.500, 0.500, 0.500)
Th (0.000, 0.500, 0.500)
Zn (0.000, 0.000, 0.500)

Computed properties:
V = 36.51 Å³/atom
Energy relative to the elements, uncorrected = -1.422 eV per atom

---

No. 19
RbCd2PdPb: relaxed, PBE.

Lattice parameters (Å, degrees): 5.397 5.397 5.369 90.00 90.00 90.00
Fractional coordinates of all 5 atoms:
Pd (0.000, 0.000, 0.000)
Rb (0.500, 0.500, 0.500)
Pb (0.000, 0.000, 0.500)
Cd (0.500, 0.000, 0.000)
Cd (0.000, 0.500, 0.000)

Computed properties:
V = 31.28 Å³/atom
Formation enthalpy at 0 K = -0.62 eV/f.u.

---

No. 20
RbY4Te6: relaxed, PBE.

Lattice parameters (Å, degrees): 4.444 7.664 23.338 90.00 90.00 106.85
Fractional coordinates of all 22 atoms:
Y (0.408, 0.815, 0.130)
Y (0.135, 0.270, 0.039)
Y (0.408, 0.815, 0.370)
Y (0.592, 0.185, 0.630)
Y (0.865, 0.730, 0.961)
Y (0.865, 0.730, 0.539)
Y (0.592, 0.185, 0.870)
Y (0.135, 0.270, 0.461)
Te (0.500, 0.000, 0.000)
Te (0.500, 0.000, 0.500)
Te (0.957, 0.914, 0.653)
Te (0.229, 0.457, 0.582)
Te (0.353, 0.705, 0.250)
Te (0.229, 0.457, 0.918)
Te (0.043, 0.086, 0.153)
Te (0.043, 0.086, 0.347)
Te (0.647, 0.295, 0.750)
Te (0.771, 0.543, 0.082)
Te (0.771, 0.543, 0.418)
Te (0.957, 0.914, 0.847)
Rb (0.663, 0.325, 0.250)
Rb (0.337, 0.675, 0.750)

Computed properties:
V = 34.58 Å³/atom
Energy relative to the elements, uncorrected = -1.356 eV per atom

---

No. 21
ZrInF2: relaxed, PBE.

Lattice parameters (Å, degrees): 4.379 4.379 7.883 73.88 73.88 90.00
Site moments in Bohr magnetons follow the coordinates.
Fractional coordinates of all 8 atoms:
In (0.000, 0.000, 0.000)  0.07
In (0.750, 0.250, 0.500)  0.07
Zr (0.250, 0.750, 0.500)  0.24
Zr (0.500, 0.500, 0.000)  0.22
F (0.472, 0.125, 0.250)  0.01
F (0.875, 0.722, 0.750)  0.02
F (0.375, 0.528, 0.750)  0.01
F (0.278, 0.625, 0.250)  0.02

Computed properties:
V = 17.37 Å³/atom
Energy relative to the elements, uncorrected = -1.785 eV per atom
Energy above the most stable polymorph in this dataset = 0.111 eV per atom

---

No. 22
LiPmMg2: relaxed, PBE.

Lattice parameters (Å, degrees): 5.217 3.281 11.835 97.97 90.00 90.00
Fractional coordinates of all 8 atoms:
Li (0.750, 0.339, 0.678)
Li (0.250, 0.661, 0.322)
Mg (0.250, 0.271, 0.542)
Mg (0.250, 0.534, 0.068)
Mg (0.750, 0.729, 0.458)
Mg (0.750, 0.466, 0.932)
Pm (0.750, 0.097, 0.193)
Pm (0.250, 0.903, 0.807)

Computed properties:
V = 25.08 Å³/atom
Energy above the most stable polymorph in this dataset = 0.022 eV per atom
Formation enthalpy at 0 K = -0.15 eV/f.u.

---

No. 23
La4Nd2ErTm: relaxed, PBE.

Lattice parameters (Å, degrees): 5.245 5.209 11.445 62.87 90.00 90.00
Fractional coordinates of all 8 atoms:
Er (0.500, 0.500, 0.000)
La (0.500, 0.250, 0.750)
La (0.500, 0.750, 0.250)
La (0.000, 0.751, 0.749)
La (0.000, 0.249, 0.251)
Nd (0.000, 0.000, 0.000)
Nd (0.500, 0.000, 0.500)
Tm (0.000, 0.500, 0.500)

Computed properties:
V = 34.79 Å³/atom
Formation enthalpy at 0 K = 0.13 eV/f.u.

---

no.,uncorrected energy (eV per atom)
1,-4.558
2,-4.794
3,-5.513
4,-2.894
5,-4.558
6,-3.493
7,-3.768
8,-5.766
9,-5.992
10,-3.879
11,-5.241
12,-3.237
13,-4.441
14,-4.507
15,-4.930
16,-6.917
17,-5.808
18,-5.020
19,-2.464
20,-5.508
21,-5.542
22,-2.502
23,-4.769